1.
# LiMg2Cr (GGA-PBE, relaxed)
# Crystal system: tetragonal
# ΔH_f (0 K) in eV/atom: 0.35
# Energy in eV per cell: -13.3
# Theoretical density in g cm⁻³: 2.585
# Size of the total moment in μB/atom: 0.030
data_LiMg2Cr
_symmetry_space_group_name_H-M 'P 4/m m m'
_symmetry_Int_Tables_number 123
_symmetry_space_group_name_Hall '-P 4 2'
_cell_length_a 2.748
_cell_length_b 2.748
_cell_length_c 9.147
_cell_angle_alpha 90.00
_cell_angle_beta 90.00
_cell_angle_gamma 90.00
loop_
_atom_site_label
_atom_site_type_symbol
_atom_site_fract_x
_atom_site_fract_y
_atom_site_fract_z
_atom_site_occupancy
Li1 Li 0.000 0.000 0.000 1
Mg1 Mg 0.500 0.500 0.271 1
Cr1 Cr 0.000 0.000 0.500 1

2.
# KTlSnTe3 (GGA-PBE, relaxed)
# Crystal system: monoclinic
# Energy in eV per cell: -38.6
# Theoretical density in g cm⁻³: 5.409
# E_form (uncorrected) in eV per atom: -0.40
# Size of the total moment in μB/atom: 0.000
data_KTlSnTe3
_symmetry_space_group_name_H-M 'P 1 21/m 1'
_symmetry_Int_Tables_number 11
_symmetry_space_group_name_Hall '-P 2yb'
_cell_length_a 8.935
_cell_length_b 5.135
_cell_length_c 10.397
_cell_angle_alpha 90.00
_cell_angle_beta 106.49
_cell_angle_gamma 90.00
loop_
_atom_site_label
_atom_site_type_symbol
_atom_site_fract_x
_atom_site_fract_y
_atom_site_fract_z
_atom_site_occupancy
K1 K 0.243 0.250 0.240 1
Tl1 Tl 0.175 0.750 0.591 1
Sn1 Sn 0.366 0.250 0.849 1
Te1 Te 0.015 0.250 0.718 1
Te2 Te 0.297 0.750 0.959 1
Te3 Te 0.455 0.250 0.609 1

3.
# RbTlHg4 (GGA-PBE, relaxed)
# Crystal system: cubic
# ΔH_f (0 K) in eV/atom: -0.11
# Energy in eV per cell: -20.8
# Theoretical density in g cm⁻³: 9.750
# Size of the total moment in μB/atom: 0.000
data_RbTlHg4
_symmetry_space_group_name_H-M 'F -4 3 m'
_symmetry_Int_Tables_number 216
_symmetry_space_group_name_Hall 'F -4 2 3'
_cell_length_a 9.062
_cell_length_b 9.062
_cell_length_c 9.062
_cell_angle_alpha 90.00
_cell_angle_beta 90.00
_cell_angle_gamma 90.00
loop_
_atom_site_label
_atom_site_type_symbol
_atom_site_fract_x
_atom_site_fract_y
_atom_site_fract_z
_atom_site_occupancy
Rb1 Rb 0.000 0.000 0.000 1
Tl1 Tl 0.250 0.250 0.750 1
Hg1 Hg 0.125 0.125 0.375 1

4.
# PaCdH8Ir2 (GGA-PBE, relaxed)
# Crystal system: monoclinic
# Energy in eV per cell: -111.1
# Theoretical density in g cm⁻³: 11.288
# Size of the total moment in μB/atom: 0.066
data_PaCdH8Ir2
_symmetry_space_group_name_H-M 'C 1 2/m 1'
_symmetry_Int_Tables_number 12
_symmetry_space_group_name_Hall '-C 2y'
_cell_length_a 8.827
_cell_length_b 4.272
_cell_length_c 5.996
_cell_angle_alpha 90.00
_cell_angle_beta 106.78
_cell_angle_gamma 90.00
loop_
_atom_site_label
_atom_site_type_symbol
_atom_site_fract_x
_atom_site_fract_y
_atom_site_fract_z
_atom_site_occupancy
Pa1 Pa 0.000 0.000 0.000 1
Cd1 Cd 0.000 0.500 0.500 1
H1 H 0.072 0.500 0.131 1
H2 H 0.171 0.000 0.380 1
H3 H 0.184 0.269 0.831 1
Ir1 Ir 0.237 0.000 0.672 1

Repeat the third record exactly.
# RbTlHg4 (GGA-PBE, relaxed)
# Crystal system: cubic
# ΔH_f (0 K) in eV/atom: -0.11
# Energy in eV per cell: -20.8
# Theoretical density in g cm⁻³: 9.750
# Size of the total moment in μB/atom: 0.000
data_RbTlHg4
_symmetry_space_group_name_H-M 'F -4 3 m'
_symmetry_Int_Tables_number 216
_symmetry_space_group_name_Hall 'F -4 2 3'
_cell_length_a 9.062
_cell_length_b 9.062
_cell_length_c 9.062
_cell_angle_alpha 90.00
_cell_angle_beta 90.00
_cell_angle_gamma 90.00
loop_
_atom_site_label
_atom_site_type_symbol
_atom_site_fract_x
_atom_site_fract_y
_atom_site_fract_z
_atom_site_occupancy
Rb1 Rb 0.000 0.000 0.000 1
Tl1 Tl 0.250 0.250 0.750 1
Hg1 Hg 0.125 0.125 0.375 1

Q: What is the theoretical density in the second record?
A: 5.409 g cm⁻³

Q: Among the records above, which one has the highest theoretical density?
A: PaCdH8Ir2